The following is a DFT calculation (GGA-PBE) of a geometry-optimized Rb2H4PdAu structure.

It has space group Fddd (No. 70, origin choice 2), with a = 5.3314 Å, b = 12.0764 Å, c = 20.7840 Å, α = 90.00°, β = 90.00° and γ = 90.00°. The distinct sites, in fractional coordinates, are Rb at (0.1250, 0.1250, 0.2972), H at (0.1151, 0.2903, 0.8406), Pd at (0.1250, 0.1250, 0.6250) and Au at (0.1250, 0.1250, 0.1250).

Its spin magnetization is 0.0 μB per formula unit.

***

The following is a DFT calculation (GGA-PBE) of a geometry-optimized TbNdBiAs structure.

It has space group R3m (No. 160, hexagonal axes), with a = 4.3449 Å, b = 4.3449 Å, c = 21.7343 Å, α = 90.00°, β = 90.00° and γ = 120.00°. The distinct sites, in fractional coordinates, are Tb at (0.0000, 0.0000, 0.0000), Nd at (0.0000, 0.0000, 0.4847), Bi at (0.0000, 0.0000, 0.2449) and As at (0.0000, 0.0000, 0.7398).

The calculated formation energy is -1195 meV per atom. Its spin magnetization is 0.0 μB per formula unit.

***

The following is a DFT calculation (GGA-PBE) of a geometry-optimized CsSmCdSe3 structure.

It has space group P2_1/m (No. 11), with a = 9.6569 Å, b = 4.3707 Å, c = 10.6431 Å, α = 90.00°, β = 110.19° and γ = 90.00°. The distinct sites, in fractional coordinates, are Cs at (0.2194, 0.2500, 0.2424), Sm at (0.3298, 0.7500, 0.8663), Cd at (0.0846, 0.2500, 0.6131), Se at (0.1200, 0.2500, 0.8688), Se at (0.2127, 0.7500, 0.5483) and Se at (0.4740, 0.7500, 0.1511).

Its spin magnetization is 0.0 μB per formula unit.

***

The following is a DFT calculation (GGA-PBE) of a geometry-optimized MgTa3H structure.

It has space group Pm-3m (No. 221), with a = 4.2275 Å, b = 4.2275 Å, c = 4.2275 Å, α = 90.00°, β = 90.00° and γ = 90.00°. The distinct sites, in fractional coordinates, are Mg at (0.0000, 0.0000, 0.0000), Ta at (0.0000, 0.5000, 0.5000) and H at (0.5000, 0.5000, 0.5000).

As for the energy above the lowest structure with this stoichiometry: 0.000 eV per atom. Its spin magnetization is 0.0 μB per formula unit.

***

The following is a DFT calculation (GGA-PBE) of a geometry-optimized CaMgTe structure.

It has space group P-6m2 (No. 187), with a = 4.9902 Å, b = 4.9902 Å, c = 4.0448 Å, α = 90.00°, β = 90.00° and γ = 120.00°. The distinct sites, in fractional coordinates, are Ca at (0.0000, 0.0000, 0.0000), Mg at (0.6667, 0.3333, 0.5000) and Te at (0.3333, 0.6667, 0.5000).

As for the energy above the lowest structure with this stoichiometry: 0.143 eV per atom. Its spin magnetization is 0.0 μB per formula unit.

***

The following is a DFT calculation (GGA-PBE) of a geometry-optimized RbInGa3 structure.

It has space group Pm-3m (No. 221), with a = 5.5296 Å, b = 5.5296 Å, c = 5.5296 Å, α = 90.00°, β = 90.00° and γ = 90.00°. The distinct sites, in fractional coordinates, are Rb at (0.0000, 0.0000, 0.0000), In at (0.5000, 0.5000, 0.5000) and Ga at (0.0000, 0.5000, 0.5000).

As for the energy above the lowest structure with this stoichiometry: 0.000 eV per atom. The calculated formation energy is 290 meV per atom. Its spin magnetization is 0.0 μB per formula unit.

***

The following is a DFT calculation (GGA-PBE) of a geometry-optimized Li2SmRh structure.

It has space group Pnma (No. 62), with a = 7.5110 Å, b = 7.9595 Å, c = 5.2236 Å, α = 90.00°, β = 90.00° and γ = 90.00°. The distinct sites, in fractional coordinates, are Li at (0.1654, 0.0558, 0.1023), Sm at (0.0367, 0.2500, 0.6023) and Rh at (0.1286, 0.7500, 0.8887).

As for the energy above the lowest structure with this stoichiometry: 0.000 eV per atom. The calculated formation energy is -268 meV per atom. Its spin magnetization is 0.0 μB per formula unit.

***

The following is a DFT calculation (GGA-PBE) of a geometry-optimized DyTmHgRh structure.

It has space group F-43m (No. 216), with a = 7.0943 Å, b = 7.0943 Å, c = 7.0943 Å, α = 90.00°, β = 90.00° and γ = 90.00°. The distinct sites, in fractional coordinates, are Dy at (0.0000, 0.0000, 0.0000), Tm at (0.0000, 0.0000, 0.5000), Hg at (0.2500, 0.2500, 0.2500) and Rh at (0.2500, 0.2500, 0.7500).

As for the energy above the lowest structure with this stoichiometry: 0.085 eV per atom. The calculated formation energy is -633 meV per atom. Its spin magnetization is 0.0 μB per formula unit.

***

The following is a DFT calculation (GGA-PBE) of a geometry-optimized MgIn2Rh2 structure.

It has space group I4/mmm (No. 139), with a = 4.1737 Å, b = 4.1737 Å, c = 11.8291 Å, α = 90.00°, β = 90.00° and γ = 90.00°. The distinct sites, in fractional coordinates, are Mg at (0.0000, 0.0000, 0.0000), In at (0.0000, 0.5000, 0.2500) and Rh at (0.0000, 0.0000, 0.3944).

The calculated formation energy is -121 meV per atom. Its spin magnetization is 0.0 μB per formula unit.

***

The following is a DFT calculation (GGA-PBE) of a geometry-optimized NiRhAu2 structure.

It has space group F-43m (No. 216), with a = 6.3095 Å, b = 6.3095 Å, c = 6.3095 Å, α = 90.00°, β = 90.00° and γ = 90.00°. The distinct sites, in fractional coordinates, are Ni at (0.0000, 0.0000, 0.0000), Rh at (0.2500, 0.2500, 0.7500), Au at (0.0000, 0.0000, 0.5000) and Au at (0.2500, 0.2500, 0.2500).

As for the energy above the lowest structure with this stoichiometry: 0.166 eV per atom. The calculated formation energy is 251 meV per atom. Its spin magnetization is 1.3 μB per formula unit.

***

The following is a DFT calculation (GGA-PBE) of a geometry-optimized Ba2ReO4F2 structure.

It has space group I4/mmm (No. 139), with a = 6.1395 Å, b = 6.1395 Å, c = 7.8523 Å, α = 90.00°, β = 90.00° and γ = 90.00°. The distinct sites, in fractional coordinates, are Ba at (0.0000, 0.5000, 0.2500), Re at (0.0000, 0.0000, 0.0000), O at (0.2180, 0.2180, 0.0000) and F at (0.0000, 0.0000, 0.2554).

Its spin magnetization is 1.0 μB per formula unit.

***

The following is a DFT calculation (GGA-PBE) of a geometry-optimized Sr3TcH structure.

It has space group Pm-3m (No. 221), with a = 5.1551 Å, b = 5.1551 Å, c = 5.1551 Å, α = 90.00°, β = 90.00° and γ = 90.00°. The distinct sites, in fractional coordinates, are Sr at (0.0000, 0.0000, 0.5000), Tc at (0.5000, 0.5000, 0.5000) and H at (0.0000, 0.0000, 0.0000).

As for the energy above the lowest structure with this stoichiometry: 0.000 eV per atom. Its spin magnetization is 1.8 μB per formula unit.

***

no.,raw total energy (eV per atom)
1,-3.12
2,-5.68
3,-4.18
4,-7.94
5,-2.84
6,-2.27
7,-4.24
8,-4.81
9,-4.48
10,-4.67
11,-6.88
12,-3.31